VHgBi2O6 PBE+U optimized geometry; E_tot = -5.760 eV/atom; SG = No. 1; total magnetic moment = 1.000 μB per cell
1.0
-4.5267 -3.6993 -1.2318
-2.6015 -3.2017 4.2049
-5.5347 1.4176 1.7888
V Hg Bi O
1 1 2 6
Direct
0.3166 0.3100 0.0502
0.7707 0.7591 0.6667
0.5324 0.5197 0.4121
0.0069 0.0163 0.9445
0.5723 0.2112 0.2272
0.2109 0.0163 0.2224
0.9940 0.5910 0.2261
0.4175 0.6686 0.7574
0.6800 0.1377 0.7586
0.1604 0.4318 0.7501